Entry P
An optimized crystal structure of CuH3Pd6, computed with GGA-PBE.

Cell: 9.185 2.799 9.195 Å, 90.00 105.20 90.00°
Space group P2_1/m (No. 11)
Asymmetric unit:
Cu (0.035, 0.250, 0.136) [2 per cell]
H (0.175, 0.250, 0.549) [2 per cell]
H (0.357, 0.750, 0.073) [2 per cell]
H (0.497, 0.750, 0.668) [2 per cell]
Pd (0.092, 0.750, 0.401) [2 per cell]
Pd (0.174, 0.750, 0.707) [2 per cell]
Pd (0.226, 0.250, 0.973) [2 per cell]
Pd (0.311, 0.750, 0.258) [2 per cell]
Pd (0.382, 0.250, 0.553) [2 per cell]
Pd (0.467, 0.750, 0.859) [2 per cell]

* crystal system: monoclinic
* total moment: 0.0 μB/cell

Entry Q
An optimized crystal structure of CuH3Pd6, computed with GGA-PBE.

Cell: 4.906 4.938 4.951 Å, 98.54 100.32 99.29°
Space group P1 (No. 1)
Asymmetric unit:
Cu (0.000, 0.000, 0.000) [1 per cell]
H (0.107, 0.792, 0.619) [1 per cell]
H (0.473, 0.604, 0.185) [1 per cell]
H (0.904, 0.240, 0.392) [1 per cell]
Pd (0.131, 0.566, 0.278) [1 per cell]
Pd (0.283, 0.144, 0.571) [1 per cell]
Pd (0.429, 0.718, 0.853) [1 per cell]
Pd (0.569, 0.266, 0.134) [1 per cell]
Pd (0.723, 0.867, 0.441) [1 per cell]
Pd (0.853, 0.433, 0.722) [1 per cell]

* crystal system: triclinic
* total moment: 0.0 μB/cell

Q: Which of them is the least stable? A: entry P.

Entry P
An optimized crystal structure of Cu2H2Pd, computed with GGA-PBE.

Cell: 3.712 3.712 3.735 Å, 90.00 90.00 90.00°
Space group P4/mmm (No. 123)
Asymmetric unit:
Cu (0.000, 0.500, 0.000) [2 per cell]
H (0.000, 0.500, 0.500) [2 per cell]
Pd (0.000, 0.000, 0.500) [1 per cell]

* crystal system: tetragonal
* total moment: 0.0 μB/cell

Entry Q
An optimized crystal structure of Cu2H2Pd, computed with GGA-PBE.

Cell: 2.836 15.555 4.077 Å, 90.00 90.00 90.00°
Space group Cmc2_1 (No. 36)
Asymmetric unit:
Cu (0.000, 0.041, 0.000) [4 per cell]
Cu (0.000, 0.209, 0.002) [4 per cell]
H (0.000, 0.197, 0.487) [4 per cell]
H (0.000, 0.386, 0.490) [4 per cell]
Pd (0.000, 0.383, 0.001) [4 per cell]

* crystal system: orthorhombic
* total moment: 0.0 μB/cell

Q: Which of them is the least stable? A: entry Q.

Entry P
An optimized crystal structure of CuHPd4, computed with GGA-PBE.

Cell: 4.732 4.797 7.353 Å, 108.98 94.43 90.06°
Space group P-1 (No. 2)
Asymmetric unit:
Cu (0.249, 0.343, 0.000) [2 per cell]
H (0.000, 0.500, 0.500) [1 per cell]
H (0.500, 0.000, 0.500) [1 per cell]
Pd (0.219, 0.152, 0.618) [2 per cell]
Pd (0.237, 0.745, 0.809) [2 per cell]
Pd (0.263, 0.938, 0.191) [2 per cell]
Pd (0.281, 0.535, 0.382) [2 per cell]

* crystal system: triclinic
* total moment: 0.0 μB/cell

Entry Q
An optimized crystal structure of CuHPd4, computed with GGA-PBE.

Cell: 7.267 7.267 6.835 Å, 90.00 90.00 90.00°
Space group I4_1md (No. 109)
Asymmetric unit:
Cu (0.000, 0.000, 0.000) [4 per cell]
H (0.000, 0.000, 0.561) [4 per cell]
Pd (0.000, 0.183, 0.313) [8 per cell]
Pd (0.000, 0.202, 0.716) [8 per cell]

* crystal system: tetragonal
* total moment: 0.0 μB/cell

Q: Which of them is the least stable? A: entry Q.

Entry P
An optimized crystal structure of Cu2HPdPt, computed with GGA-PBE.

Cell: 4.015 4.015 3.621 Å, 90.00 90.00 90.00°
Space group P4/mmm (No. 123)
Asymmetric unit:
Cu (0.000, 0.500, 0.000) [2 per cell]
H (0.000, 0.000, 0.000) [1 per cell]
Pd (0.500, 0.500, 0.500) [1 per cell]
Pt (0.000, 0.000, 0.500) [1 per cell]

* crystal system: tetragonal
* total moment: 0.0 μB/cell

Entry Q
An optimized crystal structure of Cu2HPdPt, computed with GGA-PBE.

Cell: 4.014 4.014 3.599 Å, 90.00 90.00 90.00°
Space group P4/mmm (No. 123)
Asymmetric unit:
Cu (0.000, 0.500, 0.000) [2 per cell]
H (0.000, 0.000, 0.000) [1 per cell]
Pd (0.000, 0.000, 0.500) [1 per cell]
Pt (0.500, 0.500, 0.500) [1 per cell]

* crystal system: tetragonal
* total moment: 0.0 μB/cell

Q: Which of them is the least stable? A: entry Q.